(1)
This record from Alexandria via LeMat-Bulk describes HoPd5Au5 after structural relaxation. The functional is PBE-GGA.

Lattice parameters (Å, degrees): 5.7042 5.8896 6.3005 76.56 79.11 89.33
Space group P-1 (No. 2)
One atom of each set of equivalent atoms:
Ho  0.0000  0.0000  0.0000 (multiplicity 1)
Pd  0.1632  0.1673  0.3379 (multiplicity 2)
Pd  0.1635  0.6619  0.3350 (multiplicity 2)
Pd  0.5000  0.0000  0.0000 (multiplicity 1)
Au  0.0000  0.5000  0.0000 (multiplicity 1)
Au  0.3413  0.3408  0.6803 (multiplicity 2)
Au  0.3441  0.8279  0.6669 (multiplicity 2)

Values from the calculation:
DFT formation energy in eV per atom: -0.26

(2)
This record from Alexandria via LeMat-Bulk describes LaTbPt4 after structural relaxation. The functional is PBE-GGA.

Lattice parameters (Å, degrees): 7.7820 7.7820 7.7820 90.00 90.00 90.00
Space group F-43m (No. 216)
One atom of each set of equivalent atoms:
La  0.0000  0.0000  0.0000 (multiplicity 4)
Tb  0.2500  0.2500  0.7500 (multiplicity 4)
Pt  0.1246  0.1246  0.3754 (multiplicity 16)

Values from the calculation:
DFT formation energy in eV per atom: -1.10

DFT formation energy of number 1 (HoPd5Au5)?
-0.26 eV per atom